Entry 1:
Density functional theory data (PBE) for a geometry-optimized CaAl2PdS structure.

N(E_F) = 1.3 states/eV/f.u.
energy = -3.821 eV per atom
formation energy (no corrections) = -60 meV/atom

Structure (extended XYZ):
```
5
Lattice="4.6564 0.0000 0.0000 0.0000 4.6564 0.0000 0.0000 0.0000 5.0784" Properties=species:S:1:pos:R:3 pbc="T T T"
Ca 0.0000 0.0000 0.0000
Al 0.0000 2.3282 2.5392
Al 2.3282 0.0000 2.5392
Pd 2.3282 2.3282 0.0000
S 0.0000 0.0000 2.5392
```

Entry 2:
Density functional theory data (PBE) for a geometry-optimized ZrNiBr2 structure.

energy above the lowest structure with this stoichiometry = 0.7283 eV per atom
N(E_F) = 4.4 states/eV/f.u.
energy = -4.393 eV per atom
formation energy (no corrections) = 25 meV/atom

Structure (extended XYZ):
```
4
Lattice="-2.2394 2.2394 3.7740 2.2394 -2.2394 3.7740 2.2394 2.2394 -3.7740" Properties=species:S:1:pos:R:3 pbc="T T T"
Zr 0.0000 0.0000 0.0000
Ni 0.0000 0.0000 3.7740
Br 2.2394 0.0000 1.8870
Br 0.0000 2.2394 1.8870
```

Entry 3:
Density functional theory data (PBE) for a geometry-optimized V2RuPt3 structure.

energy above the lowest structure with this stoichiometry = 0.0000 eV per atom
N(E_F) = 4.8 states/eV/f.u.
energy = -7.947 eV per atom
energy of formation = -0.341 eV per atom

Structure (extended XYZ):
```
12
Lattice="0.0000 2.7761 11.8340 2.7558 0.0000 11.8340 2.7558 2.7761 0.0000" Properties=species:S:1:pos:R:3 pbc="T T T"
V 2.7558 1.3741 11.8340
V 1.3779 1.3880 5.9170
V 4.1336 4.1641 17.7510
V 2.7558 4.1780 11.8340
Ru 2.7558 2.7761 4.2705
Ru 2.7558 2.7761 19.3976
Pt 4.1390 2.7761 10.0367
Pt 2.7558 2.7761 7.6888
Pt 4.1390 2.7761 13.6314
Pt 1.3725 2.7761 10.0367
Pt 2.7558 2.7761 15.9793
Pt 1.3725 2.7761 13.6314
```

Entry 4:
Density functional theory data (PBE) for a geometry-optimized KHg2AuF8 structure.

N(E_F) = 0.0 states/eV/f.u.
energy = -3.219 eV per atom
formation energy (no corrections) = -1556 meV/atom

Structure (extended XYZ):
```
12
Lattice="4.9160 0.0000 0.0000 0.0618 5.8112 0.0000 0.0237 0.7020 7.5371" Properties=species:S:1:pos:R:3 pbc="T T T"
K 0.0000 0.0000 0.0000
Hg 2.4920 3.1095 1.9563
Hg 2.5095 3.4037 5.5808
Au 0.0119 0.3510 3.7685
F 0.0982 4.9447 5.3458
F 0.0929 4.6703 2.4541
F 2.4459 1.8330 3.5597
F 2.4694 2.1881 7.2406
F 2.5321 4.3251 0.2965
F 2.5556 4.6802 3.9774
F 4.9086 1.8429 5.0830
F 4.9033 1.5685 2.1913
```

Entry 5:
Density functional theory data (PBE) for a geometry-optimized MnFe3 structure.

N(E_F) = 5.4 states/eV/f.u.
energy = -8.585 eV per atom
energy of formation = 0.054 eV per atom

Structure (extended XYZ):
```
4
Lattice="-1.2328 3.9122 2.1386 1.2328 -3.9122 2.1386 1.2328 3.9122 -2.1386" Properties=species:S:1:pos:R:3 pbc="T T T"
Mn 0.0000 0.0000 0.0000
Fe 1.2328 1.9602 0.7196
Fe 0.0000 3.9122 0.0015
Fe 0.0000 1.9520 2.8582
```

Entry 6:
Density functional theory data (PBE) for a geometry-optimized NaSn4Hg structure.

energy above the lowest structure with this stoichiometry = 0.0000 eV per atom
N(E_F) = 2.9 states/eV/f.u.
energy = -3.009 eV per atom
energy of formation = -0.070 eV per atom

Structure (extended XYZ):
```
6
Lattice="4.1027 -4.8324 0.0000 4.1027 4.8324 0.0000 -3.3176 0.0000 4.0626" Properties=species:S:1:pos:R:3 pbc="T T T"
Na 0.0000 0.0000 0.0000
Sn -0.4239 1.5809 3.0585
Sn -0.4239 -1.5809 3.0585
Sn 5.3118 1.5809 1.0041
Sn 5.3118 -1.5809 1.0041
Hg 2.4439 0.0000 2.0313
```

Entry 7:
Density functional theory data (PBE) for a geometry-optimized CuRuPbBr2 structure.

N(E_F) = 4.0 states/eV/f.u.
energy = -3.242 eV per atom
formation energy (no corrections) = 843 meV/atom

Structure (extended XYZ):
```
5
Lattice="4.8141 0.0000 0.0000 0.0000 4.8141 0.0000 0.0000 0.0000 5.8032" Properties=species:S:1:pos:R:3 pbc="T T T"
Cu 0.0000 0.0000 0.0000
Ru 2.4070 2.4070 2.9016
Pb 0.0000 0.0000 2.9016
Br 0.0000 2.4070 0.0000
Br 2.4070 0.0000 0.0000
```

Entry 8:
Density functional theory data (PBE) for a geometry-optimized NdMnTe3 structure.

energy above the lowest structure with this stoichiometry = 0.0247 eV per atom
N(E_F) = 2.4 states/eV/f.u.
energy = -5.426 eV per atom
formation energy (no corrections) = -753 meV/atom

Structure (extended XYZ):
```
20
Lattice="12.3538 0.0000 0.0000 0.0000 7.6980 0.0000 0.0000 0.0000 6.2409" Properties=species:S:1:pos:R:3 pbc="T T T"
Nd 2.0290 0.4199 1.5602
Nd 2.0290 3.4291 4.6807
Nd 10.3248 4.2689 1.5602
Nd 10.3248 7.2781 4.6807
Mn 5.2420 1.9245 0.0000
Mn 5.2420 1.9245 3.1204
Mn 7.1118 5.7735 0.0000
Mn 7.1118 5.7735 3.1204
Te 0.4560 5.7735 0.0000
Te 0.4560 5.7735 3.1204
Te 3.2324 0.5424 4.6807
Te 3.2324 3.3065 1.5602
Te 5.1557 4.3639 4.6807
Te 5.1557 7.1831 1.5602
Te 7.1981 0.5149 4.6807
Te 7.1981 3.3341 1.5602
Te 9.1214 4.3914 4.6807
Te 9.1214 7.1555 1.5602
Te 11.8978 1.9245 0.0000
Te 11.8978 1.9245 3.1204
```

Entry 9:
Density functional theory data (PBE) for a geometry-optimized Nb2Ru2Pt structure.

energy above the lowest structure with this stoichiometry = 0.1834 eV per atom
N(E_F) = 3.2 states/eV/f.u.
energy = -8.983 eV per atom
energy of formation = -0.037 eV per atom

Structure (extended XYZ):
```
10
Lattice="7.4985 0.0000 0.0000 0.0000 7.4985 0.0000 0.0000 0.0000 2.9831" Properties=species:S:1:pos:R:3 pbc="T T T"
Nb 1.1587 2.5906 0.0000
Nb 2.5906 6.3398 0.0000
Nb 4.9080 1.1587 0.0000
Nb 6.3398 4.9080 0.0000
Ru 1.0646 4.8138 1.4916
Ru 2.6847 1.0646 1.4916
Ru 4.8138 6.4339 1.4916
Ru 6.4339 2.6847 1.4916
Pt 0.0000 0.0000 0.0000
Pt 3.7493 3.7493 0.0000
```

Entry 10:
Density functional theory data (PBE) for a geometry-optimized CeLuPdRh structure.

N(E_F) = 7.1 states/eV/f.u.
energy = -6.524 eV per atom
energy of formation = -0.774 eV per atom

Structure (extended XYZ):
```
4
Lattice="0.0000 3.4759 3.4759 3.4759 0.0000 3.4759 3.4759 3.4759 0.0000" Properties=species:S:1:pos:R:3 pbc="T T T"
Ce 0.0000 0.0000 0.0000
Lu 3.4759 3.4759 3.4759
Pd 1.7380 1.7380 1.7380
Rh 5.2139 5.2139 5.2139
```

Entry 11:
Density functional theory data (PBE) for a geometry-optimized ScTcSn4 structure.

N(E_F) = 1.8 states/eV/f.u.
energy = -5.759 eV per atom
energy of formation = -0.307 eV per atom

Structure (extended XYZ):
```
12
Lattice="-3.4255 3.4255 5.7556 3.4255 -3.4255 5.7556 3.4255 3.4255 -5.7556" Properties=species:S:1:pos:R:3 pbc="T T T"
Sc 0.0000 0.0000 0.0000
Sc 0.0000 0.0000 5.7556
Tc 0.0000 0.0000 2.8778
Tc 0.0000 0.0000 8.6334
Sn 4.4853 1.0598 -1.6170
Sn 1.0598 2.3657 -1.6170
Sn 4.4853 1.0598 1.6170
Sn 1.0598 2.3657 1.6170
Sn 2.3657 1.0598 4.1386
Sn -1.0598 2.3657 4.1386
Sn 2.3657 1.0598 7.3727
Sn -1.0598 2.3657 7.3727
```

Entry 12:
Density functional theory data (PBE) for a geometry-optimized LiTlCr3 structure.

energy above the lowest structure with this stoichiometry = 0.0000 eV per atom
N(E_F) = 3.3 states/eV/f.u.
energy = -5.196 eV per atom
energy of formation = 1.434 eV per atom

Structure (extended XYZ):
```
5
Lattice="5.2704 0.0000 0.0000 0.0000 5.2704 0.0000 0.0000 0.0000 5.2704" Properties=species:S:1:pos:R:3 pbc="T T T"
Li 0.0000 0.0000 0.0000
Tl 2.6352 2.6352 2.6352
Cr 0.0000 2.6352 2.6352
Cr 2.6352 0.0000 2.6352
Cr 2.6352 2.6352 0.0000
```